# 1
Compound: La2Pt2Cl
Source: Alexandria via LeMat-Bulk
Functional: PBEsol
Structure: relaxed

## Properties
The value obtained for the density of states at the Fermi level is 5.753 states/eV per cell. The total energy comes out at -62.71 eV per cell.

a = 5.2428 Å, b = 5.2428 Å, c = 9.8261 Å
α = 90.00°, β = 90.00°, γ = 90.00°
Closest atoms and distances in Å follow each position.
Space group I4/mmm (No. 139)
Symmetry-distinct sites (fractional):
La: 0.0000 0.5000 0.2500  4 Pt 2.87
Pt: 0.0000 0.0000 0.1304  1 Pt 2.56
Cl: 0.0000 0.0000 0.5000  8 La 3.59, 10 Pt 3.63-3.92

# 2
Compound: LaPtCl2
Source: Alexandria via LeMat-Bulk
Functional: PBEsol
Structure: relaxed

## Properties
The value obtained for the density of states at the Fermi level is 7.783 states/eV per cell. The total energy comes out at -40.11 eV per cell.

a = 6.1646 Å, b = 6.4302 Å, c = 4.6469 Å
α = 90.00°, β = 90.00°, γ = 90.00°
Closest atoms and distances in Å follow each position.
Space group Cmmm (No. 65)
Symmetry-distinct sites (fractional):
La: 0.0000 0.0000 0.0000  4 Cl 2.81, 2 Pt 3.08
Pt: 0.0000 0.5000 0.0000  4 Cl 2.84, 2 La 3.08
Cl: 0.0000 0.2467 0.5000  2 La 2.81, 2 Pt 2.84, 2 Cl 3.08

# 3
Compound: LaPt2Cl
Source: Alexandria via LeMat-Bulk
Functional: PBEsol
Structure: relaxed

## Properties
The value obtained for the density of states at the Fermi level is 9.162 states/eV per cell. The total energy comes out at -96.38 eV per cell.

a = 5.4617 Å, b = 5.4662 Å, c = 10.9985 Å
α = 90.00°, β = 90.00°, γ = 90.00°
Closest atoms and distances in Å follow each position.
Space group Fmmm (No. 69)
Symmetry-distinct sites (fractional):
La: 0.0000 0.0000 0.0000  4 Cl 2.73
Pt: 0.0000 0.2500 0.2500  4 Pt 2.73
Cl: 0.0000 0.0000 0.5000  4 La 2.73

# 4
Compound: LaPt2Cl
Source: Alexandria via LeMat-Bulk
Functional: PBEsol
Structure: relaxed

## Properties
The value obtained for the density of states at the Fermi level is 3.854 states/eV per cell. The total energy comes out at -48.89 eV per cell.

a = 5.5208 Å, b = 5.5396 Å, c = 5.3171 Å
α = 90.00°, β = 90.00°, γ = 90.00°
Closest atoms and distances in Å follow each position.
Space group Cmmm (No. 65)
Symmetry-distinct sites (fractional):
La: 0.0000 0.0000 0.0000  4 Cl 2.76-2.77, 4 Pt 3.00
Pt: 0.0000 0.2497 0.5000  4 Pt 2.76-2.77, 2 La 3.00, 2 Cl 3.00
Cl: 0.0000 0.5000 0.0000  4 La 2.76-2.77, 4 Pt 3.00

# 5
Compound: LaPt2Cl
Source: Alexandria via LeMat-Bulk
Functional: PBEsol
Structure: relaxed

## Properties
The value obtained for the density of states at the Fermi level is 3.695 states/eV per cell. The total energy comes out at -23.88 eV per cell.

a = 3.9192 Å, b = 3.9192 Å, c = 5.4309 Å
α = 90.00°, β = 90.00°, γ = 90.00°
Closest atoms and distances in Å follow each position.
Space group P4/mmm (No. 123)
Symmetry-distinct sites (fractional):
La: 0.0000 0.0000 0.0000  2 Cl 2.72
Pt: 0.5000 0.5000 0.2469  2 Pt 2.68-2.75
Cl: 0.0000 0.0000 0.5000  2 La 2.72

# 6
Compound: LaPtCl2
Source: Alexandria via LeMat-Bulk
Functional: PBEsol
Structure: relaxed

## Properties
The value obtained for the density of states at the Fermi level is 1.250 states/eV per cell. The total energy comes out at -20.76 eV per cell.

a = 4.2652 Å, b = 4.4943 Å, c = 4.3183 Å
α = 90.00°, β = 99.19°, γ = 90.00°
Closest atoms and distances in Å follow each position.
Space group P2/m (No. 10)
Symmetry-distinct sites (fractional):
La: 0.0000 0.0000 0.0000  2 Cl 2.78, 4 Pt 3.10
Pt: 0.5000 0.5000 0.0000  2 Cl 2.78, 4 La 3.10
Cl: 0.0000 0.5000 0.5000  2 Pt 2.78, 4 Cl 3.10
Cl: 0.5000 0.0000 0.5000  2 La 2.78, 4 Cl 3.10

The evaluated energy relative to the elements, uncorrected for the records listed, in turn: -0.945 -0.933 -0.703 -0.791 -0.649 -1.109 eV per atom.